1.
# LaSi2AgOs

LaSi2AgOs after structural relaxation (PBE-GGA, OQMD).

## Properties
- Uncorrected energy: -6.366 eV per atom

Unit cell a=5.9944 b=5.9944 c=5.9944 alpha=138.83 beta=138.83 gamma=59.64
Closest atoms and distances in Å follow each position.
Positions (direct):
La1 0.0000 0.0000 0.0000  8 Si 3.23, 4 Ag 3.35, 4 Os 3.35
Si1 0.3805 0.3805 0.0000  1 Si 2.49, 2 Ag 2.51, 2 Os 2.51
Si2 0.6195 0.6195 0.0000  1 Si 2.49, 2 Os 2.51, 2 Ag 2.51
Ag1 0.7500 0.2500 0.5000  4 Si 2.51
Os1 0.2500 0.7500 0.5000  4 Si 2.51

=====

2.
# Nd5ZnIn4

Nd5ZnIn4 after structural relaxation (PBE-GGA, OQMD).

## Properties
- Uncorrected energy: -4.065 eV per atom

Unit cell a=3.7345 b=3.7345 c=20.3203 alpha=90.00 beta=90.00 gamma=90.00
Closest atoms and distances in Å follow each position.
Positions (direct):
Nd1 0.0000 0.0000 0.0000  8 In 3.38, 4 Nd 3.73
Nd2 0.0000 0.0000 0.2067  8 In 3.37-3.38, 4 Nd 3.73
Nd3 0.0000 0.0000 0.4123  4 Zn 3.19, 4 In 3.35, 1 Nd 3.56
Nd4 0.0000 0.0000 0.5877  4 Zn 3.19, 4 In 3.35, 1 Nd 3.56
Nd5 0.0000 0.0000 0.7933  8 In 3.37-3.38, 4 Nd 3.73
Zn1 0.5000 0.5000 0.5000  8 Nd 3.19
In1 0.5000 0.5000 0.1037  8 Nd 3.37-3.38, 4 In 3.73
In2 0.5000 0.5000 0.3105  8 Nd 3.35-3.38, 4 In 3.73
In3 0.5000 0.5000 0.6895  8 Nd 3.35-3.38, 4 In 3.73
In4 0.5000 0.5000 0.8963  8 Nd 3.37-3.38, 4 In 3.73

=====

3.
# Li2ScFe

Li2ScFe after structural relaxation (PBE-GGA, OQMD).

## Properties
- Uncorrected energy: -4.287 eV per atom

Unit cell a=4.4492 b=4.4492 c=4.4492 alpha=60.00 beta=60.00 gamma=60.00
Closest atoms and distances in Å follow each position.
Positions (direct):
Li1 0.0000 0.0000 0.0000  4 Fe 2.72, 4 Li 2.72
Li2 0.2500 0.2500 0.2500  4 Li 2.72, 4 Sc 2.72
Sc1 0.5000 0.5000 0.5000  4 Fe 2.72, 4 Li 2.72
Fe1 0.7500 0.7500 0.7500  4 Li 2.72, 4 Sc 2.72

=====

4.
# GdZrOs

GdZrOs after structural relaxation (PBE-GGA, OQMD).

## Properties
- Uncorrected energy: -7.177 eV per atom
- Formation energy: 0.97 eV per atom

Unit cell a=4.6159 b=4.6159 c=4.6159 alpha=60.00 beta=60.00 gamma=60.00
Closest atoms and distances in Å follow each position.
Positions (direct):
Gd1 0.0000 0.0000 0.0000  4 Zr 2.83, 4 Os 2.83
Zr1 0.2500 0.2500 0.2500  4 Gd 2.83
Os1 0.7500 0.7500 0.7500  4 Gd 2.83

=====

5.
# HgI

HgI after structural relaxation (PBE-GGA, OQMD).

## Properties
- Uncorrected energy: -1.156 eV per atom
- Excess energy over the best structure of this formula in the dataset: 3.2 meV/atom

Unit cell a=6.8504 b=6.8504 c=6.8504 alpha=137.64 beta=137.64 gamma=61.45
Closest atoms and distances in Å follow each position.
Positions (direct):
Hg1 0.1127 0.1127 0.0000  1 Hg 2.65, 1 I 2.79
Hg2 0.8873 0.8873 0.0000  1 Hg 2.65, 1 I 2.79
I1 0.3492 0.3492 0.0000  1 Hg 2.79
I2 0.6508 0.6508 0.0000  1 Hg 2.79

=====

6.
# TbPaRe

TbPaRe after structural relaxation (PBE-GGA, OQMD).

## Properties
- Uncorrected energy: -8.589 eV per atom
- Excess energy over the best structure of this formula in the dataset: 0.0 meV/atom
- Formation energy: 0.26 eV per atom

Unit cell a=4.7854 b=4.7854 c=4.7854 alpha=60.00 beta=60.00 gamma=60.00
Closest atoms and distances in Å follow each position.
Positions (direct):
Tb1 0.0000 0.0000 0.0000  4 Re 2.93
Pa1 0.5000 0.5000 0.5000  4 Re 2.93
Re1 0.2500 0.2500 0.2500  4 Tb 2.93, 4 Pa 2.93

=====

7.
# ThI

ThI after structural relaxation (PBE-GGA, OQMD).

## Properties
- Uncorrected energy: -4.963 eV per atom

Unit cell a=3.7589 b=3.7589 c=5.0908 alpha=90.00 beta=90.00 gamma=120.00
Closest atoms and distances in Å follow each position.
Positions (direct):
Th1 0.0000 0.0000 0.0000  6 I 3.34
I1 0.3333 0.6667 0.5000  6 Th 3.34

=====

8.
# LaLuAsO

LaLuAsO after structural relaxation (PBE-GGA, OQMD).

## Properties
- Uncorrected energy: -6.866 eV per atom
- Excess energy over the best structure of this formula in the dataset: 0.0 meV/atom

Unit cell a=4.2514 b=5.6779 c=7.4204 alpha=90.00 beta=90.00 gamma=90.00
Closest atoms and distances in Å follow each position.
Positions (direct):
La1 0.0000 0.1051 0.0000  2 O 2.50-2.57
La2 0.0000 0.8949 0.5000  2 O 2.50-2.57
Lu1 0.5000 0.3565 0.3418  2 O 2.19
Lu2 0.5000 0.6435 0.8418  2 O 2.19
As1 0.5000 0.1769 0.7022  2 Lu 2.84-2.86, 4 La 3.06-3.09
As2 0.5000 0.8231 0.2022  2 Lu 2.84-2.86, 4 La 3.06-3.09
O1 0.0000 0.2748 0.3114  2 Lu 2.19
O2 0.0000 0.7252 0.8114  2 Lu 2.19

=====

9.
# KUTlSe3

KUTlSe3 after structural relaxation (PBE-GGA, OQMD).

## Properties
- Uncorrected energy: -5.156 eV per atom

Unit cell a=8.5386 b=8.5386 c=12.0782 alpha=90.00 beta=90.00 gamma=151.36
Closest atoms and distances in Å follow each position.
Positions (direct):
K1 0.1620 0.8380 0.7500  2 Se 3.09
K2 0.8380 0.1620 0.2500  2 Se 3.09
U1 0.5000 0.5000 0.0000  6 Se 2.82-3.02
U2 0.5000 0.5000 0.5000  6 Se 2.82-3.02
Tl1 0.1363 0.8637 0.2500  4 Se 3.03-3.09
Tl2 0.8637 0.1363 0.7500  4 Se 3.03-3.09
Se1 0.1125 0.8875 0.5035  2 U 2.82, 1 Tl 3.09, 1 K 3.09
Se2 0.1125 0.8875 0.9965  2 U 2.82, 1 Tl 3.09, 1 K 3.09
Se3 0.4953 0.5047 0.7500  2 U 3.02, 2 Tl 3.03
Se4 0.5047 0.4953 0.2500  2 U 3.02, 2 Tl 3.03
Se5 0.8875 0.1125 0.0035  2 U 2.82, 1 Tl 3.09, 1 K 3.09
Se6 0.8875 0.1125 0.4965  2 U 2.82, 1 Tl 3.09, 1 K 3.09

=====

10.
# ZnSnSO

ZnSnSO after structural relaxation (PBE-GGA, OQMD).

## Properties
- Uncorrected energy: -4.331 eV per atom
- Excess energy over the best structure of this formula in the dataset: 197.4 meV/atom

Unit cell a=6.4638 b=6.4638 c=5.8656 alpha=90.00 beta=90.00 gamma=145.86
Closest atoms and distances in Å follow each position.
Positions (direct):
Zn1 0.1085 0.8915 0.7500  2 O 1.99
Zn2 0.8915 0.1085 0.2500  2 O 1.99
Sn1 0.3969 0.6031 0.7500  4 O 2.72, 2 S 2.97
Sn2 0.6031 0.3969 0.2500  4 O 2.72, 2 S 2.97
S1 0.2879 0.7121 0.2500  2 Zn 2.29
S2 0.7121 0.2879 0.7500  2 Zn 2.29
O1 0.0000 0.0000 0.0000  2 Zn 1.99
O2 0.0000 0.0000 0.5000  2 Zn 1.99

=====

11.
# Be5IrPd4

Be5IrPd4 after structural relaxation (PBE-GGA, OQMD).

## Properties
- Uncorrected energy: -5.452 eV per atom

Unit cell a=2.8272 b=2.8272 c=14.0428 alpha=90.00 beta=90.00 gamma=90.00
Closest atoms and distances in Å follow each position.
Positions (direct):
Be1 0.0000 0.0000 0.0000  8 Pd 2.44
Be2 0.0000 0.0000 0.2026  8 Pd 2.41-2.47
Be3 0.0000 0.0000 0.4107  4 Ir 2.36, 1 Be 2.51, 4 Pd 2.54
Be4 0.0000 0.0000 0.5893  4 Ir 2.36, 1 Be 2.51, 4 Pd 2.54
Be5 0.0000 0.0000 0.7974  8 Pd 2.41-2.47
Ir1 0.5000 0.5000 0.5000  8 Be 2.36
Pd1 0.5000 0.5000 0.0999  8 Be 2.44-2.47
Pd2 0.5000 0.5000 0.2990  8 Be 2.41-2.54
Pd3 0.5000 0.5000 0.7010  8 Be 2.41-2.54
Pd4 0.5000 0.5000 0.9001  8 Be 2.44-2.47

=====

12.
# Nd3Co

Nd3Co after structural relaxation (PBE-GGA, OQMD).

## Properties
- Uncorrected energy: -5.138 eV per atom
- Formation energy: 0.21 eV per atom

Unit cell a=7.7283 b=7.7283 c=4.2638 alpha=90.00 beta=90.00 gamma=120.00
Closest atoms and distances in Å follow each position.
Positions (direct):
Nd1 0.1899 0.3798 0.2500  2 Co 2.87
Nd2 0.1899 0.8101 0.2500  2 Co 2.87
Nd3 0.3798 0.1899 0.7500  2 Co 2.87
Nd4 0.6202 0.8101 0.2500  2 Co 2.87
Nd5 0.8101 0.1899 0.7500  2 Co 2.87
Nd6 0.8101 0.6202 0.7500  2 Co 2.87
Co1 0.3333 0.6667 0.7500  6 Nd 2.87
Co2 0.6667 0.3333 0.2500  6 Nd 2.87